This record from Alexandria describes a relaxed SmNb3O6 crystal. The functional is GGA-PBE.

Properties
DOS at the Fermi energy: 6.2 states/eV/cell
space group: No. 11
magnetization: 0.00 μB/f.u.
E: -8.861 eV per atom
formation energy from raw total energies: -2309 kJ/mol of formula units
density: 7.1 g cm⁻³

Unit cell a=3.1014 b=9.3402 c=8.9580 alpha=108.57 beta=90.00 gamma=90.00
With the nearest neighbours (Å) after each atom.
Atoms (fractional coordinates):
1 Sm 0.7500 0.6338 0.8901  8 O 2.33-2.51
2 Sm 0.2500 0.3662 0.1099  8 O 2.33-2.51
3 Nb 0.7500 0.3601 0.4825  4 O 2.13-2.27
4 Nb 0.2500 0.6399 0.5175  4 O 2.13-2.27
5 Nb 0.7500 0.7307 0.2939  6 O 2.02-2.25
6 Nb 0.2500 0.2693 0.7061  6 O 2.02-2.25
7 Nb 0.7500 0.9702 0.8619  6 O 2.11-2.23
8 Nb 0.2500 0.0298 0.1381  6 O 2.11-2.23
9 O 0.7500 0.1716 0.5668  3 Nb 2.02-2.13
10 O 0.2500 0.8284 0.4332  3 Nb 2.02-2.13
11 O 0.7500 0.1715 0.0727  3 Nb 2.20-2.23, 2 Sm 2.33
12 O 0.2500 0.8285 0.9273  3 Nb 2.20-2.23, 2 Sm 2.33
13 O 0.7500 0.7525 0.6783  3 Nb 2.15-2.17
14 O 0.2500 0.2475 0.3217  3 Nb 2.15-2.17
15 O 0.7500 0.5033 0.3196  4 Nb 2.21-2.39, 2 Sm 2.46
16 O 0.2500 0.4967 0.6804  4 Nb 2.21-2.39, 2 Sm 2.46
17 O 0.7500 0.3714 0.8916  2 Nb 2.25, 3 Sm 2.46-2.51
18 O 0.2500 0.6286 0.1084  2 Nb 2.25, 3 Sm 2.46-2.51
19 O 0.7500 0.9238 0.2231  3 Nb 2.09-2.11
20 O 0.2500 0.0762 0.7769  3 Nb 2.09-2.11